First-principles (PBE-GGA) data for a geometry-optimized Ac3Tl2Rh structure, as listed in Alexandria.

The structure in extended XYZ format:
```
12
Lattice="6.3018 0.0000 0.0000 0.0000 8.4209 0.0003 -3.1509 -2.1070 8.0947" Properties=species:S:1:pos:R:3 pbc="T T T"
Ac 3.1527 2.1052 0.0001
Ac 3.1491 6.3156 0.0002
Ac 0.0057 0.0002 2.0533
Ac 3.1566 2.1033 6.0415
Ac -0.0057 4.2106 2.0535
Ac 3.1452 6.3137 6.0417
Tl 3.1440 4.2097 3.2274
Tl 3.1578 -0.0007 3.2273
Tl -0.0069 6.3146 4.8677
Tl 0.0069 2.1041 4.8676
Rh 6.2996 6.3156 0.0002
Rh 0.0022 2.1052 0.0001
```

## Properties
* energy above the lowest structure with this stoichiometry: 0.052 eV per atom
* ΔH_f (0 K): -36.8 kJ/mol of atoms
* SG: No. 15